{"formula": "Ag2PbW", "functional": "GGA-PBE", "state": "optimized geometry", "dos_ef_per_ev_cell": 3.3, "formation_energy_ev_per_atom": 1.05, "final_energy_ev_per_atom": -4.5458, "relative_energy_mev_per_atom": 441.5, "total_magnetization_mub_per_fu": 0.0, "space_group": "I-42d", "lattice": [[-5.862, -3.259, 3.829], [4.930, -4.882, 3.392], [-0.105, -2.239, 5.722]], "species": ["Pb", "Pb", "Ag", "Ag", "Ag", "Ag", "W", "W"], "frac_coords": [[0.000, 0.000, 0.000], [0.750, 0.250, 0.500], [0.610, 0.125, 0.250], [0.140, 0.625, 0.250], [0.375, 0.390, 0.750], [0.875, 0.860, 0.750], [0.500, 0.500, 0.000], [0.250, 0.750, 0.500]]}